Below is Ta2FeNO after structural relaxation, with properties calculated at the PBE+U level.

Unit cell a=4.614 b=4.614 c=3.337 alpha=90.00 beta=90.00 gamma=90.00
Fractional positions:
Ta 0.000 0.500 0.000
Ta 0.500 0.000 0.000
Fe 0.000 0.000 0.000
N 0.000 0.000 0.500
O 0.500 0.500 0.500

Results
DOS at the Fermi energy: 0.802 states/eV/atom
Electronic total energy: -7.191 eV/atom